Computed, not measured: a relaxed structure of Al21Pt5 at the GGA-PBE level of DFT.

For the density of states at the Fermi level, the calculation gives 145.82 states/eV/cell. Its formation energy from the elements is -0.288 eV/atom.

Cell: 18.957 18.957 18.957 Å, 90.00 90.00 90.00°
Space group F-43m (No. 216)
Unique sites:
Al1 0.000 0.000 0.186 [24 per cell]
Al2 0.020 0.157 0.157 [48 per cell]
Al3 0.033 0.148 0.648 [48 per cell]
Al4 0.049 0.049 0.549 [16 per cell]
Al5 0.054 0.250 0.750 [24 per cell]
Al6 0.055 0.055 0.055 [16 per cell]
Al7 0.084 0.084 0.265 [48 per cell]
Al8 0.092 0.092 0.408 [16 per cell]
Al9 0.105 0.105 0.781 [48 per cell]
Al10 0.171 0.171 0.171 [16 per cell]
Al11 0.177 0.177 0.323 [16 per cell]
Al12 0.201 0.201 0.799 [16 per cell]
Pt1 0.000 0.000 0.335 [24 per cell]
Pt2 0.078 0.078 0.922 [16 per cell]
Pt3 0.090 0.250 0.250 [24 per cell]
Pt4 0.169 0.169 0.669 [16 per cell]


Computed, not measured: a relaxed structure of LiAl5Ag8 at the GGA-PBE level of DFT.

For the density of states at the Fermi level, the calculation gives 8.28 states/eV/cell. Its formation energy from the elements is 0.011 eV/atom.

Cell: 7.637 7.637 8.523 Å, 90.00 90.00 90.00°
Space group I-4 (No. 82)
Unique sites:
Li1 0.000 0.000 0.000 [2 per cell]
Al1 0.000 0.500 0.750 [2 per cell]
Al2 0.128 0.716 0.321 [8 per cell]
Ag1 0.074 0.828 0.647 [8 per cell]
Ag2 0.087 0.669 0.005 [8 per cell]


Computed, not measured: a relaxed structure of Tb2DyCd at the GGA-PBE level of DFT.

For the density of states at the Fermi level, the calculation gives 4.78 states/eV/cell. The energy above the most stable polymorph in this dataset comes out at 0.086 eV/atom. Its formation energy from the elements is -0.059 eV/atom.

Cell: 5.482 5.482 3.826 Å, 90.00 90.00 90.00°
Space group P4/mmm (No. 123)
Unique sites:
Tb1 0.000 0.500 0.000 [2 per cell]
Dy1 0.000 0.000 0.500 [1 per cell]
Cd1 0.500 0.500 0.500 [1 per cell]


Computed, not measured: a relaxed structure of AlPtO2 at the GGA-PBE level of DFT.

For the density of states at the Fermi level, the calculation gives 1.76 states/eV/cell. As for the uncorrected formation energy: -1.96 eV per atom.

Cell: 2.8334 2.8334 18.0862 Å, 90.00 90.00 120.00°
Space group R-3m (No. 166, hexagonal axes)
Unique sites:
Al1 0.0000 0.0000 0.0000 [3 per cell]
Pt1 0.0000 0.0000 0.5000 [3 per cell]
O1 0.0000 0.0000 0.3866 [6 per cell]


Computed, not measured: a relaxed structure of In2IO6 at the GGA-PBE level of DFT.

For the density of states at the Fermi level, the calculation gives 0.22 states/eV/cell. The energy above the most stable polymorph in this dataset comes out at 0.007 eV/atom. As for the uncorrected formation energy: -0.93 eV per atom.

Cell: 5.154 9.042 5.600 Å, 90.00 92.46 90.00°
Space group P2/m (No. 10)
Unique sites:
In1 0.000 0.191 0.000 [2 per cell]
In2 0.500 0.305 0.500 [2 per cell]
I1 0.000 0.000 0.500 [1 per cell]
I2 0.500 0.500 0.000 [1 per cell]
O1 0.194 0.000 0.828 [2 per cell]
O2 0.214 0.171 0.340 [4 per cell]
O3 0.284 0.349 0.850 [4 per cell]
O4 0.317 0.500 0.291 [2 per cell]


Computed, not measured: a relaxed structure of HfMgSeBr2 at the GGA-PBE level of DFT.

For the density of states at the Fermi level, the calculation gives 4.07 states/eV/cell. The energy above the most stable polymorph in this dataset comes out at 0.000 eV/atom. As for the uncorrected formation energy: -0.62 eV per atom.

Cell: 5.334 5.334 5.168 Å, 90.00 90.00 90.00°
Space group P4/mmm (No. 123)
Unique sites:
Hf1 0.000 0.000 0.000 [1 per cell]
Mg1 0.500 0.500 0.500 [1 per cell]
Se1 0.000 0.000 0.500 [1 per cell]
Br1 0.000 0.500 0.000 [2 per cell]